[1]
The following is a GGA-PBE calculation of a relaxed structure of Sm3AsO7, from the Alexandria database.

Unit cell a=6.508 b=6.508 c=7.502 alpha=90.00 beta=90.00 gamma=109.15
Fractional positions:
Sm 0.024 0.024 0.000
Sm 0.037 0.498 0.255
Sm 0.498 0.037 0.745
Sm 0.502 0.963 0.245
Sm 0.963 0.502 0.755
Sm 0.976 0.976 0.500
As 0.499 0.499 0.500
As 0.501 0.501 0.000
O 0.130 0.870 0.750
O 0.135 0.865 0.250
O 0.195 0.431 0.975
O 0.206 0.449 0.532
O 0.431 0.195 0.025
O 0.443 0.557 0.250
O 0.449 0.206 0.468
O 0.551 0.794 0.968
O 0.557 0.443 0.750
O 0.569 0.805 0.525
O 0.794 0.551 0.032
O 0.805 0.569 0.475
O 0.865 0.135 0.750
O 0.870 0.130 0.250

Summary:
D(E_F), states/eV/atom: 0.00
Energy relative to the elements, uncorrected, eV per formula unit: -30.8
Space group: C222_1


[2]
The following is a GGA-PBE calculation of a relaxed structure of KBa2Pb, from the Alexandria database.

Unit cell a=5.881 b=5.881 c=5.201 alpha=90.00 beta=90.00 gamma=90.00
Fractional positions:
K 0.000 0.000 0.000
Ba 0.000 0.500 0.500
Ba 0.500 0.000 0.500
Pb 0.500 0.500 0.000

Summary:
D(E_F), states/eV/atom: 0.90
ΔH_f (0 K), meV/atom: -198
Space group: P4/mmm


[3]
The following is a GGA-PBE calculation of a relaxed structure of RbAs3I, from the Alexandria database.

Unit cell a=6.901 b=6.901 c=6.901 alpha=90.00 beta=90.00 gamma=90.00
Fractional positions:
Rb 0.000 0.000 0.000
As 0.000 0.000 0.500
As 0.000 0.500 0.000
As 0.500 0.000 0.000
I 0.500 0.500 0.500

Summary:
D(E_F), states/eV/atom: 6.36
Offset from the most stable computed form, kJ per mole of atoms: 70.73
Energy relative to the elements, uncorrected, eV per formula unit: 7.4
Space group: Pm-3m